Here is a geometry-optimized Li2Cu4S3 structure from Alexandria. Energies are from PBE.

Properties
DOS(E_F) = 0.389 states/eV/f.u.
space group = C2/m

```
Li2Cu4S3
1.0
7.824 -1.898 0.000
7.824 1.898 0.000
-3.083 0.000 9.424
Li Cu S
4 8 6
Direct
0.175 0.175 0.416
0.274 0.274 0.141
0.726 0.726 0.859
0.825 0.825 0.584
0.086 0.086 0.969
0.087 0.087 0.614
0.456 0.456 0.863
0.459 0.459 0.595
0.541 0.541 0.405
0.544 0.544 0.137
0.913 0.913 0.386
0.914 0.914 0.031
0.011 0.011 0.257
0.330 0.330 0.407
0.333 0.333 0.935
0.667 0.667 0.065
0.670 0.670 0.593
0.989 0.989 0.743
```



Here is a geometry-optimized LiCu5S4 structure from Alexandria. Energies are from PBE.

Properties
DOS(E_F) = 6.264 states/eV/f.u.
space group = Pmmn

```
LiCu5S4
1.0
7.711 0.000 0.000
0.000 7.848 0.000
0.000 0.000 5.346
Li Cu S
2 10 8
Direct
0.250 0.250 0.233
0.750 0.750 0.767
0.001 0.021 0.753
0.001 0.479 0.753
0.250 0.750 0.748
0.499 0.021 0.753
0.499 0.479 0.753
0.501 0.521 0.247
0.501 0.979 0.247
0.750 0.250 0.252
0.999 0.521 0.247
0.999 0.979 0.247
0.002 0.750 0.509
0.250 0.510 0.001
0.250 0.990 0.001
0.498 0.750 0.509
0.502 0.250 0.491
0.750 0.010 0.999
0.750 0.490 0.999
0.998 0.250 0.491
```



Here is a geometry-optimized LiCuS2 structure from Alexandria. Energies are from PBE.

Properties
DOS(E_F) = 2.287 states/eV/f.u.
space group = R-3m

```
LiCuS2
1.0
1.592 0.919 7.644
-1.592 0.919 7.644
0.000 -1.838 7.644
Li Cu S
1 1 2
Direct
0.000 0.000 0.000
0.500 0.500 0.500
0.408 0.408 0.408
0.592 0.592 0.592
```



Here is a geometry-optimized Li2CuSbS4 structure from Alexandria. Energies are from PBE.

Properties
space group = I-42m

```
Li2CuSbS4
1.0
-2.727 2.727 5.685
2.727 -2.727 5.685
2.727 2.727 -5.685
Li Cu Sb S
2 1 1 4
Direct
0.250 0.750 0.500
0.750 0.250 0.500
0.000 0.000 0.000
0.500 0.500 0.000
0.123 0.635 0.000
0.365 0.365 0.488
0.635 0.123 0.000
0.877 0.877 0.512
```



| no. | formation energy from raw total energies (meV per atom) | magnetization (μB per formula unit) |
| --- | --- | --- |
| 1 | -526 | 0.00 |
| 2 | -303 | 0.00 |
| 3 | -171 | 0.00 |
| 4 | -628 | 0.00 |